1.
Na14TlAu | PBE-GGA | optimized geometry

For the formation energy from the elements, the calculation gives -0.83 eV/f.u. The total magnetization comes out at 0.0 μB per formula unit. The calculation puts the total DFT energy (no corrections) at -24.94 eV for the cell shown. The value obtained for the density of states at the Fermi level is 6.7 states/eV/cell.

Cell and atoms, written as CIF:
```
data_Na14TlAu
_space_group_name_H-M_alt 'P 4/m m m'
_space_group_IT_number 123
_space_group_name_Hall '-P 4 2'
_cell_length_a 7.047
_cell_length_b 7.047
_cell_length_c 10.348
_cell_angle_alpha 90.00
_cell_angle_beta 90.00
_cell_angle_gamma 90.00
loop_
_atom_site_label
_atom_site_fract_x
_atom_site_fract_y
_atom_site_fract_z
Na1 0.000 0.000 0.000
Na2 0.000 0.500 0.000
Na3 0.000 0.500 0.500
Na4 0.244 0.244 0.281
Na5 0.500 0.500 0.000
Tl1 0.500 0.500 0.500
Au1 0.000 0.000 0.500
```

---

2.
ReOsAu2 | PBE-GGA | optimized geometry

As for the energy above the most stable polymorph in this dataset: 65.0 kJ per mole of atoms. For the formation energy from the elements, the calculation gives 3.57 eV/f.u. The total magnetization comes out at 0.0 μB per formula unit. The calculation puts the total DFT energy (no corrections) at -106.66 eV for the cell shown. The value obtained for the density of states at the Fermi level is 15.1 states/eV/cell.

Cell and atoms, written as CIF:
```
data_ReOsAu2
_space_group_name_H-M_alt 'F m -3 m'
_space_group_IT_number 225
_space_group_name_Hall '-F 4 2 3'
_cell_length_a 6.358
_cell_length_b 6.358
_cell_length_c 6.358
_cell_angle_alpha 90.00
_cell_angle_beta 90.00
_cell_angle_gamma 90.00
loop_
_atom_site_label
_atom_site_fract_x
_atom_site_fract_y
_atom_site_fract_z
Re1 0.000 0.000 0.000
Os1 0.000 0.000 0.500
Au1 0.250 0.250 0.250
```